Entry 1:
## BeTlIn2 (PBE)

Data for crystalline BeTlIn2 at its relaxed geometry.

Lattice parameters (Å, degrees): 4.5623 4.5754 4.5754 90.00 90.00 90.00
With the nearest neighbours (Å) after each atom.
Positions (direct):
In1 0.0000 0.0000 0.0000  4 Tl 3.23, 4 Be 3.23, 4 In 3.24
In2 0.0000 0.5000 0.5000  4 Tl 3.23, 4 Be 3.23, 4 In 3.24
Be1 0.5000 0.0000 0.5000  8 In 3.23, 4 Tl 3.24
Tl1 0.5000 0.5000 0.0000  8 In 3.23, 4 Be 3.24

Computed properties:
ΔE_f	0.497	eV/atom
Fermi-level density of states	0.455	states/eV per atom



Entry 2:
## SrMn2Cd (PBE)

Data for crystalline SrMn2Cd at its relaxed geometry.

Lattice parameters (Å, degrees): 4.6959 4.6959 6.1087 67.31 67.31 60.06
With the nearest neighbours (Å) after each atom.
Positions (direct):
Mn1 0.4497 0.4497 0.6505  3 Cd 2.77, 3 Mn 2.92
Mn2 0.0503 0.0503 0.8495  3 Cd 2.77, 3 Mn 2.92
Sr1 0.2500 0.2500 0.2500  8 Mn 3.28-3.49
Cd1 0.7500 0.7500 0.7500  6 Mn 2.77

Computed properties:
ΔE_f	0.410	eV/atom
Fermi-level density of states	0.937	states/eV per atom



Entry 3:
## La4Pm2HoSc (PBE)

Data for crystalline La4Pm2HoSc at its relaxed geometry.

Lattice parameters (Å, degrees): 5.1984 5.1684 11.3085 62.79 90.00 90.00
With the nearest neighbours (Å) after each atom.
Positions (direct):
La1 0.0000 0.7548 0.7456  2 Sc 3.57-3.58, 4 Pm 3.59-3.64, 2 Ho 3.65, 4 La 3.66-3.67
La2 0.0000 0.2452 0.2544  2 Sc 3.57-3.58, 4 Pm 3.59-3.64, 2 Ho 3.65, 4 La 3.66-3.67
La3 0.5000 0.7463 0.2538  4 Pm 3.58-3.64, 2 Sc 3.59, 2 Ho 3.63, 4 La 3.66-3.67
La4 0.5000 0.2537 0.7462  4 Pm 3.58-3.64, 2 Sc 3.59, 2 Ho 3.63, 4 La 3.66-3.67
Ho1 0.5000 0.5000 0.0000  8 La 3.63-3.65, 4 Pm 3.67
Pm1 0.0000 0.0000 0.0000  8 La 3.64, 4 Ho 3.67
Pm2 0.5000 0.0000 0.5000  8 La 3.58-3.59, 4 Sc 3.67
Sc1 0.0000 0.5000 0.5000  8 La 3.57-3.59, 4 Pm 3.67

Computed properties:
ΔE_f	0.030	eV/atom
Fermi-level density of states	1.479	states/eV per atom



Entry 4:
## TaTl3Sn3Te8 (PBE)

Data for crystalline TaTl3Sn3Te8 at its relaxed geometry.

Lattice parameters (Å, degrees): 8.7246 8.7368 9.5122 117.31 90.00 119.95
With the nearest neighbours (Å) after each atom.
Positions (direct):
Te1 0.7613 0.9809 0.7002  1 Ta 2.82, 2 Sn 3.09
Te2 0.2580 0.5161 0.2745  3 Sn 3.11, 3 Tl 3.35-3.36
Te3 0.2194 0.4388 0.7004  1 Ta 2.82, 2 Sn 3.09
Te4 0.7806 0.5612 0.2996  1 Ta 2.82, 2 Sn 3.09
Te5 0.2195 0.9809 0.7002  1 Ta 2.82, 2 Sn 3.09
Te6 0.7805 0.0191 0.2998  1 Ta 2.82, 2 Sn 3.09
Te7 0.2387 0.0191 0.2998  1 Ta 2.82, 2 Sn 3.09
Te8 0.7420 0.4839 0.7255  3 Sn 3.11, 3 Tl 3.35-3.36
Tl1 0.0000 0.0000 0.0000  6 Te 3.36-3.42
Tl2 0.0000 0.5000 0.0000  6 Te 3.35-3.43
Tl3 0.5000 0.5000 0.0000  6 Te 3.35-3.43
Ta1 0.0000 0.0000 0.5000  6 Te 2.82
Sn1 0.5000 0.0000 0.5000  6 Te 3.09-3.11
Sn2 0.0000 0.5000 0.5000  6 Te 3.09-3.11
Sn3 0.5000 0.5000 0.5000  6 Te 3.09-3.11

Computed properties:
Fermi-level density of states	0.450	states/eV per atom
formation energy from raw total energies	-0.2796	eV/atom



Entry 5:
## Ca2LaMoC (PBE)

Data for crystalline Ca2LaMoC at its relaxed geometry.

Lattice parameters (Å, degrees): 5.9022 4.0805 5.9022 90.00 90.00 90.00
With the nearest neighbours (Å) after each atom.
Positions (direct):
Mo1 0.0000 0.0000 0.0000  2 C 2.04
La1 0.5000 0.5000 0.5000  8 Ca 3.59
Ca1 0.5000 0.0000 0.0000  2 Mo 2.95
Ca2 0.0000 0.0000 0.5000  2 Mo 2.95
C1 0.0000 0.5000 0.0000  2 Mo 2.04

Computed properties:
ΔE_f	1.007	eV/atom
Fermi-level density of states	1.553	states/eV per atom



Entry 6:
## CsSnSbAu (PBE)

Data for crystalline CsSnSbAu at its relaxed geometry.

Lattice parameters (Å, degrees): 4.5050 4.5014 8.4325 74.52 74.51 59.97
With the nearest neighbours (Å) after each atom.
Positions (direct):
Sn1 0.7570 0.0430 0.4430  3 Au 2.85
Au1 0.1392 0.4247 0.2968  3 Sb 2.81, 3 Sn 2.85
Sb1 0.5171 0.8018 0.1640  3 Au 2.81
Cs1 0.9647 0.2475 0.8230  3 Sb 3.77-3.78, 3 Sn 4.00-4.01, 1 Au 4.22

Computed properties:
Fermi-level density of states	0.283	states/eV per atom
formation energy from raw total energies	-0.2563	eV/atom



Entry 7:
## LaYNpO6 (PBE)

Data for crystalline LaYNpO6 at its relaxed geometry.

Lattice parameters (Å, degrees): 5.8090 5.8090 9.9272 90.00 90.00 120.00
With the nearest neighbours (Å) after each atom.
Positions (direct):
O1 0.3415 0.3676 0.8618  1 Np 2.08, 1 Y 2.28
O2 0.6585 0.6324 0.1382  1 Np 2.08, 1 Y 2.28
O3 0.3676 0.0261 0.1382  1 Np 2.08, 1 Y 2.28
O4 0.6324 0.6585 0.6382  1 Np 2.08, 1 Y 2.28
O5 0.3415 0.9739 0.6382  1 Np 2.08, 1 Y 2.28
O6 0.9739 0.6324 0.3618  1 Np 2.08, 1 Y 2.28
O7 0.0261 0.3676 0.6382  1 Np 2.08, 1 Y 2.28
O8 0.0261 0.6585 0.8618  1 Np 2.08, 1 Y 2.28
O9 0.9739 0.3415 0.1382  1 Np 2.08, 1 Y 2.28
O10 0.3676 0.3415 0.3618  1 Np 2.08, 1 Y 2.28
O11 0.6585 0.0261 0.3618  1 Np 2.08, 1 Y 2.28
O12 0.6324 0.9739 0.8618  1 Np 2.08, 1 Y 2.28
Np1 0.3333 0.6667 0.7500  6 O 2.08
Np2 0.6667 0.3333 0.2500  6 O 2.08
La1 0.0000 0.0000 0.0000  6 O 2.48
La2 0.0000 0.0000 0.5000  6 O 2.48
Y1 0.3333 0.6667 0.2500  6 O 2.28
Y2 0.6667 0.3333 0.7500  6 O 2.28

Computed properties:
formation energy from raw total energies	-3.2257	eV/atom



Entry 8:
## Zn2GeSb2 (PBE)

Data for crystalline Zn2GeSb2 at its relaxed geometry.

Lattice parameters (Å, degrees): 7.4298 7.4298 3.9161 90.00 90.00 90.00
With the nearest neighbours (Å) after each atom.
Positions (direct):
Zn1 0.1234 0.3766 0.0000  1 Zn 2.59, 2 Sb 2.82
Zn2 0.8766 0.6234 0.0000  1 Zn 2.59, 2 Sb 2.82
Zn3 0.3766 0.8766 0.0000  1 Zn 2.59, 2 Sb 2.82
Zn4 0.6234 0.1234 0.0000  1 Zn 2.59, 2 Sb 2.82
Sb1 0.8160 0.3160 0.5000  6 Zn 2.82-3.04
Sb2 0.6840 0.8160 0.5000  6 Zn 2.82-3.04
Sb3 0.3160 0.1840 0.5000  6 Zn 2.82-3.04
Sb4 0.1840 0.6840 0.5000  6 Zn 2.82-3.04
Ge1 0.5000 0.5000 0.0000  4 Zn 2.94
Ge2 0.0000 0.0000 0.0000  4 Zn 2.94

Computed properties:
Fermi-level density of states	0.437	states/eV per atom
formation energy from raw total energies	0.2213	eV/atom



What did the third record say?
## La4Pm2HoSc (PBE)

Data for crystalline La4Pm2HoSc at its relaxed geometry.

Lattice parameters (Å, degrees): 5.1984 5.1684 11.3085 62.79 90.00 90.00
With the nearest neighbours (Å) after each atom.
Positions (direct):
La1 0.0000 0.7548 0.7456  2 Sc 3.57-3.58, 4 Pm 3.59-3.64, 2 Ho 3.65, 4 La 3.66-3.67
La2 0.0000 0.2452 0.2544  2 Sc 3.57-3.58, 4 Pm 3.59-3.64, 2 Ho 3.65, 4 La 3.66-3.67
La3 0.5000 0.7463 0.2538  4 Pm 3.58-3.64, 2 Sc 3.59, 2 Ho 3.63, 4 La 3.66-3.67
La4 0.5000 0.2537 0.7462  4 Pm 3.58-3.64, 2 Sc 3.59, 2 Ho 3.63, 4 La 3.66-3.67
Ho1 0.5000 0.5000 0.0000  8 La 3.63-3.65, 4 Pm 3.67
Pm1 0.0000 0.0000 0.0000  8 La 3.64, 4 Ho 3.67
Pm2 0.5000 0.0000 0.5000  8 La 3.58-3.59, 4 Sc 3.67
Sc1 0.0000 0.5000 0.5000  8 La 3.57-3.59, 4 Pm 3.67

Computed properties:
ΔE_f	0.030	eV/atom
Fermi-level density of states	1.479	states/eV per atom